This record from the Alexandria database describes an optimized crystal structure of Nd4Y5Ho3. The functional is PBE-GGA.

Results
**VASP energy**: -124.92 eV/cell
**Magnetic moment**: 1.2 Bohr magnetons per cell

Unit cell a=16.240 b=5.946 c=9.411 alpha=90.00 beta=116.71 gamma=90.00
Space group C2/m (No. 12)
Inequivalent atoms, fractional coordinates:
1 Nd 0.085 0.000 0.448
2 Nd 0.217 0.000 0.883
3 Y 0.000 0.000 0.000
4 Y 0.071 0.500 0.704
5 Y 0.171 0.500 0.383
6 Ho 0.000 0.500 0.000
7 Ho 0.212 0.000 0.236